(1)
Entry from Alexandria: crystalline BaAgS2 at its relaxed geometry (PBE).

Density, kg/m3: 5306
Space-group type: No. 225
D(E_F), states/eV/atom: 0.902
Raw formation energy, meV/atom: -668
DFT total energy, eV per atom: -3.926

Structure (POSCAR):
```
BaAgS2
1.0
-3.223 2.663 3.014
-3.049 3.615 -2.048
-5.082 -0.796 -0.324
S Ba Ag
2 1 1
direct
0.250 0.250 0.250 S
0.750 0.750 0.750 S
0.500 0.500 0.500 Ba
0.000 0.000 0.000 Ag
```

(2)
Entry from Alexandria: crystalline Rb3Cu2NiBr9 at its relaxed geometry (PBE).

Density, kg/m3: 4622
Space-group type: No. 164
D(E_F), states/eV/atom: 0.327
Raw formation energy, meV/atom: -859
DFT total energy, eV per atom: -2.988

Structure (POSCAR):
```
Rb3Cu2NiBr9
1.0
-6.775 1.844 2.130
1.641 -7.025 -1.340
2.398 -1.071 8.553
Rb Cu Ni Br
3 2 1 9
direct
0.333 0.667 0.669 Rb
0.000 0.000 0.000 Rb
0.667 0.333 0.331 Rb
0.333 0.667 0.165 Cu
0.667 0.333 0.835 Cu
0.000 0.000 0.500 Ni
0.837 0.163 0.662 Br
0.837 0.675 0.662 Br
0.325 0.163 0.662 Br
0.675 0.837 0.338 Br
0.163 0.325 0.338 Br
0.163 0.837 0.338 Br
0.500 0.000 0.000 Br
0.000 0.500 0.000 Br
0.500 0.500 0.000 Br
```

(3)
Entry from Alexandria: crystalline MnCoNi2 at its relaxed geometry (PBE).

Density, kg/m3: 8899
Space-group type: No. 160
Formation energy from the elements, eV per atom: 0.056
D(E_F), states/eV/atom: 1.543
DFT total energy, eV per atom: -6.904

Structure (POSCAR):
```
MnCoNi2
1.0
8.251 -0.001 0.000
7.879 2.448 0.000
7.879 1.195 2.136
Co Mn Ni
1 1 2
direct
0.499 0.499 0.499 Co
0.751 0.751 0.751 Mn
0.001 0.001 0.001 Ni
0.249 0.249 0.249 Ni
```

(4)
Entry from Alexandria: crystalline BaMnTe2 at its relaxed geometry (PBE).

Density, kg/m3: 5507
Space-group type: No. 44
D(E_F), states/eV/atom: 0.113
Raw formation energy, meV/atom: -651
DFT total energy, eV per atom: -4.995

Structure (POSCAR):
```
BaMnTe2
1.0
8.261 -0.149 -0.031
6.241 5.415 0.031
-7.183 -2.820 2.953
Ba Mn Te
1 1 2
direct
0.454 0.454 0.000 Ba
0.204 0.704 0.500 Mn
0.068 0.068 0.000 Te
0.775 0.275 0.500 Te
```

(5)
Entry from Alexandria: crystalline Be2CuMo at its relaxed geometry (PBE).

Density, kg/m3: 6728
Space-group type: No. 225
Formation energy from the elements, eV per atom: 0.137
D(E_F), states/eV/atom: 0.655
DFT total energy, eV per atom: -5.458

Structure (POSCAR):
```
Be2CuMo
1.0
-0.460 0.824 3.843
-0.093 3.764 1.219
-3.391 1.578 1.293
Be Mo Cu
2 1 1
direct
0.250 0.250 0.250 Be
0.750 0.750 0.750 Be
0.500 0.500 0.500 Mo
0.000 0.000 0.000 Cu
```

(6)
Entry from Alexandria: crystalline PmVBi at its relaxed geometry (PBE).

Density, kg/m3: 8344
Space-group type: No. 129
Formation energy from the elements, eV per atom: 0.266
D(E_F), states/eV/atom: 1.015
DFT total energy, eV per atom: -5.650

Structure (POSCAR):
```
PmVBi
1.0
-1.938 1.727 -2.478
-2.945 -0.426 2.006
2.338 10.868 5.744
Bi Pm V
2 2 2
direct
0.000 0.500 0.877 Bi
0.500 0.000 0.123 Bi
0.500 0.000 0.393 Pm
0.000 0.500 0.607 Pm
0.000 0.500 0.242 V
0.500 0.000 0.758 V
```

(7)
Entry from Alexandria: crystalline Tm2InGa2Ir5 at its relaxed geometry (PBE).

Density, kg/m3: 14906
Space-group type: No. 127
Formation energy from the elements, eV per atom: -0.618
D(E_F), states/eV/atom: 0.448
DFT total energy, eV per atom: -6.822

Structure (POSCAR):
```
Tm2InGa2Ir5
1.0
-1.011 -1.850 -2.991
8.133 2.845 -4.510
4.605 -7.894 3.325
Tm In Ga Ir
4 2 4 10
direct
0.000 0.675 0.175 Tm
0.000 0.325 0.825 Tm
0.000 0.175 0.325 Tm
0.000 0.825 0.675 Tm
0.000 0.000 0.000 In
0.000 0.500 0.500 In
0.000 0.124 0.624 Ga
0.000 0.876 0.376 Ga
0.000 0.624 0.876 Ga
0.000 0.376 0.124 Ga
0.500 0.209 0.067 Ir
0.500 0.791 0.933 Ir
0.500 0.067 0.791 Ir
0.500 0.709 0.433 Ir
0.500 0.933 0.209 Ir
0.500 0.291 0.567 Ir
0.500 0.567 0.709 Ir
0.500 0.433 0.291 Ir
0.500 0.500 0.000 Ir
0.500 0.000 0.500 Ir
```

(8)
Entry from Alexandria: crystalline Rb2TiAl at its relaxed geometry (PBE).

Density, kg/m3: 1695
Space-group type: No. 122
Formation energy from the elements, eV per atom: 0.890
D(E_F), states/eV/atom: 1.173
DFT total energy, eV per atom: -2.503

Structure (POSCAR):
```
Rb2TiAl
1.0
13.511 0.000 0.000
0.000 13.511 0.000
6.756 6.756 2.638
Al Rb Ti
2 4 2
direct
0.500 0.500 0.000 Al
0.250 0.750 0.500 Al
0.458 0.125 0.250 Rb
0.292 0.625 0.250 Rb
0.375 0.542 0.750 Rb
0.875 0.708 0.750 Rb
0.000 0.000 0.000 Ti
0.750 0.250 0.500 Ti
```

(9)
Entry from Alexandria: crystalline BaGaN at its relaxed geometry (PBE).

Density, kg/m3: 6009
Space-group type: No. 62
D(E_F), states/eV/atom: 0.145
Raw formation energy, meV/atom: -362
DFT total energy, eV per atom: -4.787

Structure (POSCAR):
```
BaGaN
1.0
-2.487 0.791 -4.006
2.921 -4.969 -2.795
-5.761 -4.859 2.618
Ba Ga N
4 4 4
direct
0.250 0.379 0.143 Ba
0.750 0.621 0.857 Ba
0.750 0.121 0.643 Ba
0.250 0.879 0.357 Ba
0.250 0.502 0.604 Ga
0.750 0.498 0.396 Ga
0.750 0.998 0.104 Ga
0.250 0.002 0.896 Ga
0.250 0.807 0.703 N
0.750 0.193 0.297 N
0.750 0.693 0.203 N
0.250 0.307 0.797 N
```

(10)
Entry from Alexandria: crystalline TlCrCd at its relaxed geometry (PBE).

Density, kg/m3: 9282
Space-group type: No. 107
Formation energy from the elements, eV per atom: 0.445
D(E_F), states/eV/atom: 0.428
DFT total energy, eV per atom: -3.857

Structure (POSCAR):
```
TlCrCd
1.0
-1.137 -2.260 -6.111
0.539 -5.626 -3.435
-1.848 3.362 5.387
Cd Cr Tl
1 1 1
direct
0.984 0.984 0.000 Cd
0.339 0.339 0.000 Cr
0.677 0.677 0.000 Tl
```

(11)
Entry from Alexandria: crystalline Pm2HfZrP4 at its relaxed geometry (PBE).

Density, kg/m3: 6696
Space-group type: No. 10
Formation energy from the elements, eV per atom: -1.434
D(E_F), states/eV/atom: 0.474
DFT total energy, eV per atom: -7.639

Structure (POSCAR):
```
Pm2HfZrP4
1.0
3.891 0.000 0.000
0.000 6.745 0.113
0.000 -2.362 6.420
Pm Hf Zr P
2 1 1 4
direct
0.500 0.000 0.500 Pm
0.000 0.500 0.500 Pm
0.500 0.500 0.000 Hf
0.000 0.000 0.000 Zr
0.500 0.244 0.226 P
0.500 0.756 0.774 P
0.000 0.261 0.776 P
0.000 0.739 0.224 P
```

(12)
Entry from Alexandria: crystalline LiC at its relaxed geometry (PBE).

Density, kg/m3: 1159
Space-group type: No. 10
Formation energy from the elements, eV per atom: 1.601
D(E_F), states/eV/atom: 0.220
DFT total energy, eV per atom: -3.968

Structure (POSCAR):
```
LiC
1.0
1.716 0.000 0.000
0.000 3.731 0.000
-0.529 0.000 4.241
Li C
1 1
direct
0.000 0.500 0.000 Li
0.500 0.000 0.000 C
```